No. 1
Density functional theory data (SCAN) for Nb3Cl7 at its PBEsol-relaxed geometry.

Values from the calculation:
uncorrected formation energy: -1.420 eV/atom
E_tot: -16.94 eV per atom

Lattice parameters (Å, degrees): 9.132 9.132 10.935 90.00 90.00 95.23
Positions (direct):
Cl  0.604  0.104  0.250
Cl  0.115  0.366  0.989
Cl  0.885  0.634  0.011
Cl  0.134  0.385  0.489
Cl  0.216  0.967  0.251
Cl  0.253  0.747  0.000
Cl  0.615  0.866  0.511
Cl  0.634  0.885  0.011
Cl  0.385  0.134  0.489
Cl  0.533  0.284  0.751
Cl  0.396  0.896  0.750
Cl  0.348  0.348  0.231
Cl  0.152  0.152  0.731
Cl  0.284  0.533  0.751
Cl  0.784  0.033  0.749
Cl  0.866  0.615  0.511
Cl  0.716  0.467  0.249
Cl  0.747  0.253  0.000
Cl  0.848  0.848  0.269
Cl  0.247  0.753  0.500
Cl  0.467  0.716  0.249
Cl  0.104  0.604  0.250
Cl  0.366  0.115  0.989
Cl  0.033  0.784  0.749
Cl  0.753  0.247  0.500
Cl  0.652  0.652  0.769
Cl  0.967  0.216  0.251
Cl  0.896  0.396  0.750
Nb  0.362  0.362  0.600
Nb  0.638  0.638  0.400
Nb  0.455  0.673  0.613
Nb  0.327  0.545  0.387
Nb  0.862  0.862  0.900
Nb  0.138  0.138  0.100
Nb  0.173  0.955  0.887
Nb  0.827  0.045  0.113
Nb  0.045  0.827  0.113
Nb  0.545  0.327  0.387
Nb  0.673  0.455  0.613
Nb  0.955  0.173  0.887

No. 2
Density functional theory data (SCAN) for Nb3Cl8 at its PBEsol-relaxed geometry.

Values from the calculation:
uncorrected formation energy: -1.457 eV/atom
E_tot: -16.29 eV per atom

Lattice parameters (Å, degrees): 6.710 6.710 12.727 90.00 90.00 120.00
Positions (direct):
Cl  0.835  0.671  0.860
Cl  0.667  0.333  0.103
Cl  0.333  0.667  0.351
Cl  0.671  0.835  0.140
Cl  0.333  0.667  0.897
Cl  0.832  0.663  0.375
Cl  0.835  0.165  0.860
Cl  0.168  0.832  0.625
Cl  0.165  0.835  0.140
Cl  0.165  0.329  0.140
Cl  0.667  0.333  0.649
Cl  0.663  0.832  0.625
Cl  0.337  0.168  0.375
Cl  0.832  0.168  0.375
Cl  0.168  0.337  0.625
Cl  0.329  0.165  0.860
Nb  0.527  0.473  0.246
Nb  0.945  0.473  0.246
Nb  0.527  0.055  0.246
Nb  0.473  0.527  0.754
Nb  0.055  0.527  0.754
Nb  0.473  0.945  0.754

No. 3
Density functional theory data (SCAN) for Nd3NbCl3O6 at its PBEsol-relaxed geometry.

Values from the calculation:
uncorrected formation energy: -3.055 eV/atom
E_tot: -20.38 eV per atom

Lattice parameters (Å, degrees): 5.250 9.327 9.327 120.00 90.00 90.00
Positions (direct):
O  0.992  0.517  0.156
O  0.508  0.638  0.483
O  0.492  0.483  0.844
O  0.008  0.483  0.844
O  0.992  0.844  0.362
O  0.492  0.156  0.638
O  0.508  0.517  0.156
O  0.508  0.844  0.362
O  0.492  0.362  0.517
O  0.008  0.156  0.638
O  0.008  0.362  0.517
O  0.992  0.638  0.483
Nd  0.250  0.908  0.598
Nd  0.750  0.310  0.908
Nd  0.250  0.690  0.092
Nd  0.750  0.598  0.690
Nd  0.750  0.092  0.402
Nd  0.250  0.402  0.310
Cl  0.750  0.813  0.053
Cl  0.250  0.053  0.239
Cl  0.750  0.239  0.187
Cl  0.250  0.761  0.813
Cl  0.750  0.947  0.761
Cl  0.250  0.187  0.947
Nb  0.750  0.667  0.333
Nb  0.250  0.333  0.667

No. 4
Density functional theory data (SCAN) for NbNiS2Cl at its PBEsol-relaxed geometry.

Values from the calculation:
uncorrected formation energy: 0.072 eV/atom
E_tot: -15.24 eV per atom

Lattice parameters (Å, degrees): 4.760 4.760 4.718 90.00 90.00 90.00
Positions (direct):
Nb  0.000  0.000  0.000
Cl  0.000  0.000  0.500
S  0.000  0.500  0.000
S  0.500  0.000  0.000
Ni  0.500  0.500  0.500

No. 5
Density functional theory data (SCAN) for Nb3ClO at its PBEsol-relaxed geometry.

Values from the calculation:
uncorrected formation energy: -0.173 eV/atom
E_tot: -22.89 eV per atom

Lattice parameters (Å, degrees): 4.250 4.250 4.250 90.00 90.00 90.00
Positions (direct):
Cl  0.500  0.500  0.500
Nb  0.000  0.500  0.000
Nb  0.000  0.000  0.500
Nb  0.500  0.000  0.000
O  0.000  0.000  0.000

No. 6
Density functional theory data (SCAN) for NbPCl8O at its PBEsol-relaxed geometry.

Values from the calculation:
uncorrected formation energy: -1.317 eV/atom
E_tot: -11.64 eV per atom

Lattice parameters (Å, degrees): 8.299 9.073 16.449 90.00 90.00 90.00
Positions (direct):
Cl  0.060  0.637  0.864
Cl  0.529  0.065  0.856
Cl  0.971  0.435  0.356
Cl  0.750  0.062  0.268
Cl  0.250  0.303  0.773
Cl  0.529  0.435  0.356
Cl  0.940  0.137  0.636
Cl  0.250  0.562  0.232
Cl  0.750  0.145  0.470
Cl  0.560  0.363  0.136
Cl  0.250  0.645  0.030
Cl  0.440  0.863  0.364
Cl  0.750  0.710  0.525
Cl  0.471  0.565  0.644
Cl  0.250  0.197  0.273
Cl  0.750  0.355  0.970
Cl  0.250  0.938  0.732
Cl  0.750  0.697  0.227
Cl  0.560  0.137  0.636
Cl  0.471  0.935  0.144
Cl  0.250  0.855  0.530
Cl  0.750  0.438  0.768
Cl  0.750  0.803  0.727
Cl  0.029  0.565  0.644
Cl  0.940  0.363  0.136
Cl  0.060  0.863  0.364
Cl  0.250  0.290  0.475
Cl  0.440  0.637  0.864
Cl  0.029  0.935  0.144
Cl  0.971  0.065  0.856
Cl  0.250  0.210  0.975
Cl  0.750  0.790  0.025
P  0.750  0.222  0.582
P  0.750  0.278  0.082
P  0.250  0.722  0.918
P  0.250  0.778  0.418
O  0.250  0.886  0.919
O  0.750  0.386  0.581
O  0.750  0.114  0.081
O  0.250  0.614  0.419
Nb  0.250  0.092  0.849
Nb  0.750  0.908  0.151
Nb  0.750  0.592  0.651
Nb  0.250  0.408  0.349